{
  "formula": "ZrOs2Au",
  "functional": "GGA-PBE",
  "state": "relaxed",
  "cell": [[2.831, 0.000, 0.000], [0.000, 4.760, 0.000], [-0.315, 0.000, 5.006]],
  "species": ["Zr", "Os", "Os", "Au"],
  "frac_coords": [[0.000, 0.000, 0.000], [0.301, 0.500, 0.740], [0.699, 0.500, 0.260], [0.500, 0.000, 0.500]],
  "dos_ef_per_ev_cell": 3.357,
  "de_polymorph_mev_per_atom": 279,
  "energy_ev_per_fu": -33.393,
  "space_group": "P2/m, No. 10",
  "magmom_total_mub_per_fu": 0.000,
  "formation_enthalpy_0k_ev_per_atom": 0.22
}